1.
DFT (PBE) results for MnIn after structural relaxation.

Lattice parameters (Å, degrees): 4.533 5.175 5.175 113.09 90.00 90.00
Fractional positions:
Mn  0.000  0.000  0.000
Mn  0.500  0.309  0.989
Mn  0.500  0.989  0.309
In  0.000  0.258  0.614
In  0.000  0.614  0.258
In  0.500  0.706  0.706

Values from the calculation:
Space group: Amm2, No. 38
Mass density: 7.6 g/cm3
Formation energy from the elements: 0.293 eV/atom

=====

2.
DFT (PBE) results for FeAgCl after structural relaxation.

Lattice parameters (Å, degrees): 6.932 6.647 3.045 82.34 71.85 25.81
Fractional positions:
Fe  0.000  0.000  0.000
Ag  0.663  0.663  0.337
Cl  0.368  0.368  0.632

Values from the calculation:
Space group: Fmm2, No. 42
E_form (uncorrected): 15 kJ/mol of atoms
Mass density: 6.1 g/cm3
Relative energy among the computed polymorphs: 108 meV/atom

=====

3.
DFT (PBE) results for LaSbF2 after structural relaxation.

Lattice parameters (Å, degrees): 8.199 8.199 8.199 141.55 141.55 55.50
Fractional positions:
La  0.000  0.000  0.000
La  0.750  0.250  0.500
Sb  0.250  0.750  0.500
Sb  0.500  0.500  0.000
F  0.375  0.158  0.283
F  0.842  0.125  0.217
F  0.875  0.092  0.717
F  0.908  0.625  0.783

Values from the calculation:
Space group: I-42d, No. 122
E_form (uncorrected): -228 kJ/mol of atoms
Mass density: 4.7 g/cm3
Relative energy among the computed polymorphs: 257 meV/atom

=====

4.
DFT (PBE) results for BeCdFe after structural relaxation.

Lattice parameters (Å, degrees): 3.973 3.973 3.973 60.00 60.00 60.00
Fractional positions:
Be  0.000  0.000  0.000
Cd  0.250  0.250  0.250
Fe  0.750  0.750  0.750

Values from the calculation:
Space group: F-43m, No. 216
Mass density: 6.6 g/cm3
Formation energy from the elements: 0.546 eV/atom
Relative energy among the computed polymorphs: 279 meV/atom

=====

5.
DFT (PBE) results for Zr3Ga4Rh2 after structural relaxation.

Lattice parameters (Å, degrees): 5.574 5.574 8.035 111.83 111.83 44.38
Fractional positions:
Zr  0.000  0.000  0.000
Zr  0.358  0.358  0.317
Zr  0.642  0.642  0.683
Ga  0.068  0.068  0.389
Ga  0.289  0.289  0.937
Ga  0.711  0.711  0.063
Ga  0.932  0.932  0.611
Rh  0.320  0.320  0.645
Rh  0.680  0.680  0.355

Values from the calculation:
Space group: C2/m, No. 12
Mass density: 7.9 g/cm3
Formation energy from the elements: -0.677 eV/atom

=====

6.
DFT (PBE) results for HoSc5Al3 after structural relaxation.

Lattice parameters (Å, degrees): 8.568 8.568 6.236 90.00 90.00 120.00
Fractional positions:
Ho  0.000  0.000  0.000
Ho  0.000  0.000  0.500
Sc  0.000  0.338  0.250
Sc  0.000  0.662  0.750
Sc  0.333  0.667  0.000
Sc  0.333  0.667  0.500
Sc  0.338  0.000  0.250
Sc  0.338  0.338  0.750
Sc  0.662  0.000  0.750
Sc  0.662  0.662  0.250
Sc  0.667  0.333  0.000
Sc  0.667  0.333  0.500
Al  0.000  0.335  0.750
Al  0.000  0.665  0.250
Al  0.335  0.000  0.750
Al  0.335  0.335  0.250
Al  0.665  0.000  0.250
Al  0.665  0.665  0.750

Values from the calculation:
Space group: P6_3/mcm, No. 193
Mass density: 3.9 g/cm3
Formation energy from the elements: -0.328 eV/atom

=====

7.
DFT (PBE) results for Hf2ZrH4 after structural relaxation.

Lattice parameters (Å, degrees): 6.062 6.062 6.062 60.00 60.00 60.00
Fractional positions:
Hf  0.000  0.000  0.000
Hf  0.000  0.000  0.500
Hf  0.000  0.500  0.000
Hf  0.500  0.000  0.000
Zr  0.375  0.375  0.375
Zr  0.625  0.625  0.625
H  0.204  0.765  0.765
H  0.235  0.235  0.235
H  0.235  0.235  0.796
H  0.235  0.796  0.235
H  0.765  0.204  0.765
H  0.765  0.765  0.204
H  0.765  0.765  0.765
H  0.796  0.235  0.235

Values from the calculation:
Calculated total energy: -6.38 eV per atom
Space group: Fd-3m, No. 227
Mass density: 9.5 g/cm3

=====

8.
DFT (PBE) results for CdCuBi2 after structural relaxation.

Lattice parameters (Å, degrees): 9.493 9.493 9.493 148.30 148.30 45.45
Fractional positions:
Cd  0.000  0.000  0.000
Cd  0.750  0.250  0.500
Cu  0.250  0.750  0.500
Cu  0.500  0.500  0.000
Bi  0.174  0.625  0.049
Bi  0.375  0.424  0.549
Bi  0.576  0.125  0.951
Bi  0.875  0.826  0.451

Values from the calculation:
Space group: I-42d, No. 122
Mass density: 8.4 g/cm3
Formation energy from the elements: 0.229 eV/atom

=====

9.
DFT (PBE) results for LiBePb3 after structural relaxation.

Lattice parameters (Å, degrees): 5.180 5.180 5.180 90.00 90.00 90.00
Fractional positions:
Li  0.000  0.000  0.000
Be  0.500  0.500  0.500
Pb  0.000  0.500  0.500
Pb  0.500  0.000  0.500
Pb  0.500  0.500  0.000

Values from the calculation:
Space group: Pm-3m, No. 221
Mass density: 7.6 g/cm3
Formation energy from the elements: 0.275 eV/atom
Relative energy among the computed polymorphs: 0 meV/atom

=====

10.
DFT (PBE) results for EuYCuIr after structural relaxation.

Lattice parameters (Å, degrees): 4.944 4.944 4.944 60.00 60.00 60.00
Fractional positions:
Eu  0.000  0.000  0.000
Y  0.500  0.500  0.500
Cu  0.250  0.250  0.250
Ir  0.750  0.750  0.750

Values from the calculation:
Space group: F-43m, No. 216
Mass density: 9.6 g/cm3
Formation energy from the elements: -0.380 eV/atom

=====

11.
DFT (PBE) results for LiTlCuF6 after structural relaxation.

Lattice parameters (Å, degrees): 5.206 5.206 9.683 90.00 90.00 120.00
Fractional positions:
Li  0.333  0.667  0.250
Li  0.667  0.333  0.750
Tl  0.000  0.000  0.000
Tl  0.000  0.000  0.500
Cu  0.333  0.667  0.750
Cu  0.667  0.333  0.250
F  0.004  0.349  0.635
F  0.004  0.655  0.865
F  0.345  0.349  0.865
F  0.345  0.996  0.635
F  0.349  0.004  0.135
F  0.349  0.345  0.365
F  0.651  0.655  0.635
F  0.651  0.996  0.865
F  0.655  0.004  0.365
F  0.655  0.651  0.135
F  0.996  0.345  0.135
F  0.996  0.651  0.365

Values from the calculation:
Space group: P-31c, No. 163
E_form (uncorrected): -190 kJ/mol of atoms
Mass density: 5.7 g/cm3

=====

12.
DFT (PBE) results for CrAg2Cl after structural relaxation.

Lattice parameters (Å, degrees): 6.177 6.177 6.177 100.64 100.64 129.12
Fractional positions:
Cr  0.000  0.000  0.000
Cr  0.750  0.250  0.500
Ag  0.130  0.625  0.005
Ag  0.375  0.380  0.505
Ag  0.620  0.125  0.995
Ag  0.875  0.870  0.495
Cl  0.250  0.750  0.500
Cl  0.500  0.500  0.000

Values from the calculation:
Space group: I-42d, No. 122
E_form (uncorrected): 36 kJ/mol of atoms
Mass density: 6.1 g/cm3
Relative energy among the computed polymorphs: 307 meV/atom

=====

13.
DFT (PBE) results for TePt2Cl after structural relaxation.

Lattice parameters (Å, degrees): 3.199 3.199 8.653 90.00 90.00 108.04
Fractional positions:
Te  0.000  0.000  0.000
Pt  0.000  0.000  0.436
Pt  0.500  0.500  0.224
Cl  0.500  0.500  0.628

Values from the calculation:
Space group: Cmm2, No. 35
E_form (uncorrected): 16 kJ/mol of atoms
Mass density: 10.9 g/cm3
Relative energy among the computed polymorphs: 400 meV/atom

=====

14.
DFT (PBE) results for Tb4DyIn3 after structural relaxation.

Lattice parameters (Å, degrees): 8.936 8.936 8.936 157.23 120.55 64.51
Fractional positions:
Tb  0.059  0.861  0.198
Tb  0.337  0.139  0.198
Tb  0.663  0.861  0.802
Tb  0.941  0.139  0.802
Dy  0.500  0.000  0.500
In  0.000  0.500  0.500
In  0.316  0.316  0.000
In  0.684  0.684  0.000

Values from the calculation:
Space group: Immm, No. 71
Mass density: 8.0 g/cm3
Formation energy from the elements: -0.222 eV/atom
Relative energy among the computed polymorphs: 100 meV/atom

=====

15.
DFT (PBE) results for Tl6Bi2Sb after structural relaxation.

Lattice parameters (Å, degrees): 4.879 8.312 8.312 116.54 90.00 90.00
Fractional positions:
Tl  0.000  0.000  0.000
Tl  0.000  0.495  0.752
Tl  0.000  0.752  0.495
Tl  0.500  0.158  0.751
Tl  0.500  0.356  0.356
Tl  0.500  0.751  0.158
Bi  0.000  0.095  0.420
Bi  0.000  0.420  0.095
Sb  0.500  0.750  0.750

Values from the calculation:
Space group: Amm2, No. 38
E_form (uncorrected): 1 kJ/mol of atoms
Mass density: 9.7 g/cm3
Relative energy among the computed polymorphs: 5 meV/atom

=====

16.
DFT (PBE) results for Gd2ScCo after structural relaxation.

Lattice parameters (Å, degrees): 3.417 3.417 8.269 90.00 90.00 90.00
Fractional positions:
Gd  0.000  0.000  0.198
Gd  0.000  0.000  0.802
Sc  0.500  0.500  0.500
Co  0.500  0.500  0.000

Values from the calculation:
Space group: P4/mmm, No. 123
Mass density: 7.2 g/cm3
Formation energy from the elements: 0.006 eV/atom
Relative energy among the computed polymorphs: 0 meV/atom

=====

17.
DFT (PBE) results for Ni2MoRh after structural relaxation.

Lattice parameters (Å, degrees): 4.538 4.538 2.672 90.00 90.00 109.68
Fractional positions:
Ni  0.000  0.500  0.000
Ni  0.500  0.000  0.000
Mo  0.000  0.000  0.500
Rh  0.500  0.500  0.500

Values from the calculation:
Space group: Cmmm, No. 65
Mass density: 10.1 g/cm3
Formation energy from the elements: 0.010 eV/atom
Relative energy among the computed polymorphs: 139 meV/atom

=====

18.
DFT (PBE) results for BiCIO2 after structural relaxation.

Lattice parameters (Å, degrees): 4.134 4.134 7.050 90.00 90.00 90.00
Fractional positions:
Bi  0.000  0.000  0.000
C  0.500  0.500  0.500
I  0.000  0.000  0.500
O  0.000  0.500  0.000
O  0.500  0.000  0.000

Values from the calculation:
Space group: P4/mmm, No. 123
E_form (uncorrected): 94 kJ/mol of atoms
Mass density: 5.2 g/cm3
Relative energy among the computed polymorphs: 0 meV/atom

=====

19.
DFT (PBE) results for VFeC2 after structural relaxation.

Lattice parameters (Å, degrees): 4.021 3.598 3.598 46.61 90.00 90.00
Fractional positions:
V  0.000  0.000  0.000
Fe  0.500  0.724  0.724
C  0.182  0.294  0.294
C  0.818  0.294  0.294

Values from the calculation:
Space group: Amm2, No. 38
Mass density: 5.7 g/cm3
Formation energy from the elements: 0.251 eV/atom

=====

20.
DFT (PBE) results for Na2LaInRu after structural relaxation.

Lattice parameters (Å, degrees): 5.802 5.802 5.773 90.00 90.00 90.00
Fractional positions:
Na  0.000  0.500  0.000
Na  0.500  0.000  0.000
La  0.000  0.000  0.000
In  0.000  0.000  0.500
Ru  0.500  0.500  0.500

Values from the calculation:
Space group: P4/mmm, No. 123
Mass density: 3.4 g/cm3
Formation energy from the elements: 1.899 eV/atom